## Pb2WO5 (GGA+U)

Data for a relaxed Pb2WO5 crystal.

a b c (Å): 7.801 7.801 7.546
angles (deg): 109.87 109.87 44.91
Positions (direct):
Pb: 0.008 0.008 0.247
Pb: 0.366 0.366 0.894
Pb: 0.634 0.634 0.106
Pb: 0.992 0.992 0.753
W: 0.328 0.328 0.345
W: 0.672 0.672 0.655
O: 0.112 0.598 0.227
O: 0.196 0.196 0.307
O: 0.247 0.753 0.000
O: 0.402 0.888 0.773
O: 0.405 0.405 0.601
O: 0.595 0.595 0.399
O: 0.598 0.112 0.227
O: 0.753 0.247 0.000
O: 0.804 0.804 0.693
O: 0.888 0.402 0.773

Output
DFT total energy ... -104.50 eV for the cell shown
Fermi-level density of states ... 0.0 states/eV per cell